Entry from Alexandria via LeMat-Bulk: a relaxed HfSc3Zn crystal (PBEsol).

Output
DOS(E_F)	8.81	states/eV/f.u.
calculated density	5.2	g/cm3
energy relative to the elements	499	meV per atom
E	-5.88	eV per atom

POSCAR file:
```
HfSc3Zn
1.0
4.938 0.000 0.000
0.000 4.938 0.000
0.000 0.000 4.938
Hf Zn Sc
1 1 3
Direct
0.500 0.500 0.500
0.000 0.000 0.000
0.000 0.500 0.000
0.500 0.000 0.000
0.000 0.000 0.500
```